(P)
Compound: PuAl2I8
Source: Alexandria via LeMat-Bulk
Functional: GGA-PBE
Structure: optimized geometry

ρ ... 3.83 g/cm3
DOS(E_F) ... 17.90 states/eV/cell

Geometry as POSCAR:
```
PuAl2I8
1.0
7.020 -5.683 0.000
7.020 5.683 0.000
-0.908 0.000 7.144
Pu Al I
1 2 8
Direct
0.000 0.000 0.000
0.201 0.201 0.654
0.799 0.799 0.346
0.075 0.708 0.245
0.196 0.196 0.292
0.292 0.925 0.755
0.374 0.374 0.796
0.626 0.626 0.204
0.708 0.075 0.245
0.804 0.804 0.708
0.925 0.292 0.755
```

***

(Q)
Compound: PuAl2I8
Source: Alexandria via LeMat-Bulk
Functional: GGA-PBE
Structure: optimized geometry

ρ ... 3.85 g/cm3
DOS(E_F) ... 38.50 states/eV/cell

Geometry as POSCAR:
```
PuAl2I8
1.0
10.432 -5.801 0.000
10.432 5.801 0.000
-5.734 0.000 9.366
Pu Al I
2 4 16
Direct
0.033 0.967 0.750
0.967 0.033 0.250
0.146 0.664 0.943
0.336 0.854 0.557
0.664 0.146 0.443
0.854 0.336 0.057
0.082 0.248 0.007
0.098 0.643 0.680
0.120 0.792 0.420
0.208 0.880 0.080
0.248 0.082 0.507
0.330 0.452 0.016
0.357 0.902 0.820
0.452 0.330 0.516
0.548 0.670 0.484
0.643 0.098 0.180
0.670 0.548 0.984
0.752 0.918 0.493
0.792 0.120 0.920
0.880 0.208 0.580
0.902 0.357 0.320
0.918 0.752 0.993
```

***

Stability, descending: (Q), (P)

***

(P)
Compound: RbAl2I
Source: Alexandria via LeMat-Bulk
Functional: GGA-PBE
Structure: optimized geometry

ρ ... 3.17 g/cm3
DOS(E_F) ... 3.50 states/eV/cell

Geometry as POSCAR:
```
RbAl2I
1.0
0.000 4.118 4.118
4.118 0.000 4.118
4.118 4.118 0.000
Rb Al I
1 2 1
Direct
0.000 0.000 0.000
0.250 0.250 0.250
0.750 0.750 0.750
0.500 0.500 0.500
```

***

(Q)
Compound: RbAl2I
Source: Alexandria via LeMat-Bulk
Functional: GGA-PBE
Structure: optimized geometry

ρ ... 2.94 g/cm3
DOS(E_F) ... 2.95 states/eV/cell

Geometry as POSCAR:
```
RbAl2I
1.0
-2.500 2.500 12.044
2.500 -2.500 12.044
2.500 2.500 -12.044
Rb Al I
2 4 2
Direct
0.000 0.000 0.000
0.750 0.250 0.500
0.278 0.625 0.153
0.375 0.528 0.653
0.472 0.125 0.847
0.875 0.722 0.347
0.250 0.750 0.500
0.500 0.500 0.000
```

***

Stability, descending: (Q), (P)

***

(P)
Compound: RbAlSb2I
Source: Alexandria via LeMat-Bulk
Functional: GGA-PBE
Structure: optimized geometry

ρ ... 4.21 g/cm3
DOS(E_F) ... 4.68 states/eV/cell

Geometry as POSCAR:
```
RbAlSb2I
1.0
5.323 0.000 0.000
0.000 5.323 0.000
0.000 0.000 6.723
Rb Al Sb I
1 1 2 1
Direct
0.000 0.000 0.000
0.500 0.500 0.500
0.000 0.500 0.500
0.500 0.000 0.500
0.500 0.500 0.000
```

***

(Q)
Compound: RbAlSb2I
Source: Alexandria via LeMat-Bulk
Functional: GGA-PBE
Structure: optimized geometry

ρ ... 2.88 g/cm3
DOS(E_F) ... 3.61 states/eV/cell

Geometry as POSCAR:
```
RbAlSb2I
1.0
6.479 0.000 0.000
0.000 6.479 0.000
0.000 0.000 6.643
Rb Al Sb I
1 1 2 1
Direct
0.000 0.000 0.000
0.500 0.500 0.500
0.000 0.500 0.000
0.500 0.000 0.000
0.000 0.000 0.500
```

***

Stability, descending: (P), (Q)

***

(P)
Compound: AlRe3I
Source: Alexandria via LeMat-Bulk
Functional: GGA-PBE
Structure: optimized geometry

ρ ... 10.73 g/cm3
DOS(E_F) ... 5.72 states/eV/cell

Geometry as POSCAR:
```
AlRe3I
1.0
4.795 0.000 0.000
0.000 4.795 0.000
0.000 0.000 4.795
Al Re I
1 3 1
Direct
0.000 0.000 0.000
0.000 0.500 0.500
0.500 0.000 0.500
0.500 0.500 0.000
0.500 0.500 0.500
```

***

(Q)
Compound: AlRe3I
Source: Alexandria via LeMat-Bulk
Functional: GGA-PBE
Structure: optimized geometry

ρ ... 12.36 g/cm3
DOS(E_F) ... 4.69 states/eV/cell

Geometry as POSCAR:
```
AlRe3I
1.0
4.575 0.000 0.000
0.000 4.575 0.000
0.000 0.000 4.575
Al Re I
1 3 1
Direct
0.000 0.000 0.000
0.000 0.000 0.500
0.000 0.500 0.000
0.500 0.000 0.000
0.500 0.500 0.500
```

***

Stability, descending: (Q), (P)

***

(P)
Compound: AlReI3
Source: Alexandria via LeMat-Bulk
Functional: GGA-PBE
Structure: optimized geometry

ρ ... 5.78 g/cm3
DOS(E_F) ... 2.92 states/eV/cell

Geometry as POSCAR:
```
AlReI3
1.0
5.546 0.000 0.000
0.000 5.546 0.000
0.000 0.000 5.546
Al Re I
1 1 3
Direct
0.000 0.000 0.000
0.500 0.500 0.500
0.000 0.500 0.500
0.500 0.000 0.500
0.500 0.500 0.000
```

***

(Q)
Compound: AlReI3
Source: Alexandria via LeMat-Bulk
Functional: GGA-PBE
Structure: optimized geometry

ρ ... 5.49 g/cm3
DOS(E_F) ... 1.81 states/eV/cell

Geometry as POSCAR:
```
AlReI3
1.0
5.643 0.000 0.000
0.000 5.643 0.000
0.000 0.000 5.643
Al Re I
1 1 3
Direct
0.000 0.000 0.000
0.500 0.500 0.500
0.000 0.000 0.500
0.000 0.500 0.000
0.500 0.000 0.000
```

***

Stability, descending: (P), (Q)

***

(P)
Compound: AlReTe2I
Source: Alexandria via LeMat-Bulk
Functional: GGA-PBE
Structure: optimized geometry

ρ ... 6.27 g/cm3
DOS(E_F) ... 3.53 states/eV/cell

Geometry as POSCAR:
```
AlReTe2I
1.0
5.175 0.000 0.000
0.000 5.175 0.000
0.000 0.000 5.887
Al Re Te I
1 1 2 1
Direct
0.000 0.000 0.000
0.500 0.500 0.500
0.000 0.500 0.500
0.500 0.000 0.500
0.500 0.500 0.000
```

***

(Q)
Compound: AlReTe2I
Source: Alexandria via LeMat-Bulk
Functional: GGA-PBE
Structure: optimized geometry

ρ ... 6.32 g/cm3
DOS(E_F) ... 3.49 states/eV/cell

Geometry as POSCAR:
```
AlReTe2I
1.0
5.383 0.000 0.000
0.000 5.383 0.000
0.000 0.000 5.395
Al Re Te I
1 1 2 1
Direct
0.000 0.000 0.000
0.500 0.500 0.500
0.000 0.500 0.000
0.500 0.000 0.000
0.000 0.000 0.500
```

***

Stability, descending: (P), (Q)

***

(P)
Compound: Y2AlReI
Source: Alexandria via LeMat-Bulk
Functional: GGA-PBE
Structure: optimized geometry

ρ ... 5.56 g/cm3
DOS(E_F) ... 6.90 states/eV/cell

Geometry as POSCAR:
```
Y2AlReI
1.0
5.508 0.000 0.000
0.000 5.508 0.000
0.000 0.000 5.098
Y Al Re I
2 1 1 1
Direct
0.000 0.500 0.000
0.500 0.000 0.000
0.000 0.000 0.500
0.500 0.500 0.500
0.000 0.000 0.000
```

***

(Q)
Compound: Y2AlReI
Source: Alexandria via LeMat-Bulk
Functional: GGA-PBE
Structure: optimized geometry

ρ ... 5.90 g/cm3
DOS(E_F) ... 3.97 states/eV/cell

Geometry as POSCAR:
```
Y2AlReI
1.0
5.470 0.000 0.000
0.000 5.470 0.000
0.000 0.000 4.873
Y Al Re I
2 1 1 1
Direct
0.000 0.500 0.000
0.500 0.000 0.000
0.000 0.000 0.500
0.000 0.000 0.000
0.500 0.500 0.500
```

***

Stability, descending: (Q), (P)

***

(P)
Compound: AlRhI3
Source: Alexandria via LeMat-Bulk
Functional: GGA-PBE
Structure: optimized geometry

ρ ... 4.93 g/cm3
DOS(E_F) ... 11.98 states/eV/cell

Geometry as POSCAR:
```
AlRhI3
1.0
5.561 0.000 0.000
0.000 5.561 0.000
0.000 0.000 5.561
Al Rh I
1 1 3
Direct
0.000 0.000 0.000
0.500 0.500 0.500
0.000 0.000 0.500
0.000 0.500 0.000
0.500 0.000 0.000
```

***

(Q)
Compound: AlRhI3
Source: Alexandria via LeMat-Bulk
Functional: GGA-PBE
Structure: optimized geometry

ρ ... 5.23 g/cm3
DOS(E_F) ... 2.74 states/eV/cell

Geometry as POSCAR:
```
AlRhI3
1.0
5.453 0.000 0.000
0.000 5.453 0.000
0.000 0.000 5.453
Al Rh I
1 1 3
Direct
0.000 0.000 0.000
0.500 0.500 0.500
0.000 0.500 0.500
0.500 0.000 0.500
0.500 0.500 0.000
```

***

Stability, descending: (Q), (P)

***

(P)
Compound: AlRhI2
Source: Alexandria via LeMat-Bulk
Functional: GGA-PBE
Structure: optimized geometry

ρ ... 6.67 g/cm3
DOS(E_F) ... 4.21 states/eV/cell

Geometry as POSCAR:
```
AlRhI2
1.0
0.000 3.629 3.629
3.629 0.000 3.629
3.629 3.629 0.000
Al Rh I
1 1 2
Direct
0.000 0.000 0.000
0.500 0.500 0.500
0.250 0.250 0.250
0.750 0.750 0.750
```

***

(Q)
Compound: AlRhI2
Source: Alexandria via LeMat-Bulk
Functional: GGA-PBE
Structure: optimized geometry

ρ ... 4.92 g/cm3
DOS(E_F) ... 7.18 states/eV/cell

Geometry as POSCAR:
```
AlRhI2
1.0
-3.213 3.213 6.268
3.213 -3.213 6.268
3.213 3.213 -6.268
Al Rh I
2 2 4
Direct
0.000 0.000 0.000
0.750 0.250 0.500
0.250 0.750 0.500
0.500 0.500 0.000
0.162 0.625 0.037
0.375 0.412 0.537
0.588 0.125 0.963
0.875 0.838 0.463
```

***

Stability, descending: (Q), (P)

***

(P)
Compound: AlSbRhI2
Source: Alexandria via LeMat-Bulk
Functional: GGA-PBE
Structure: optimized geometry

ρ ... 5.23 g/cm3
DOS(E_F) ... 2.04 states/eV/cell

Geometry as POSCAR:
```
AlSbRhI2
1.0
5.683 0.000 0.000
0.000 5.683 0.000
0.000 0.000 4.972
Al Sb Rh I
1 1 1 2
Direct
0.000 0.000 0.000
0.500 0.500 0.000
0.500 0.500 0.500
0.000 0.500 0.500
0.500 0.000 0.500
```

***

(Q)
Compound: AlSbRhI2
Source: Alexandria via LeMat-Bulk
Functional: GGA-PBE
Structure: optimized geometry

ρ ... 5.39 g/cm3
DOS(E_F) ... 8.96 states/eV/cell

Geometry as POSCAR:
```
AlSbRhI2
1.0
5.394 0.000 0.000
0.000 5.394 0.000
0.000 0.000 5.357
Al Sb Rh I
1 1 1 2
Direct
0.000 0.000 0.000
0.000 0.000 0.500
0.500 0.500 0.500
0.000 0.500 0.000
0.500 0.000 0.000
```

***

Stability, descending: (P), (Q)

***

(P)
Compound: AlTe2RhI
Source: Alexandria via LeMat-Bulk
Functional: GGA-PBE
Structure: optimized geometry

ρ ... 5.60 g/cm3
DOS(E_F) ... 6.95 states/eV/cell

Geometry as POSCAR:
```
AlTe2RhI
1.0
5.293 0.000 0.000
0.000 5.293 0.000
0.000 0.000 5.422
Al Te Rh I
1 2 1 1
Direct
0.000 0.000 0.000
0.000 0.500 0.000
0.500 0.000 0.000
0.500 0.500 0.500
0.000 0.000 0.500
```

***

(Q)
Compound: AlTe2RhI
Source: Alexandria via LeMat-Bulk
Functional: GGA-PBE
Structure: optimized geometry

ρ ... 5.54 g/cm3
DOS(E_F) ... 7.40 states/eV/cell

Geometry as POSCAR:
```
AlTe2RhI
1.0
5.211 0.000 0.000
0.000 5.211 0.000
0.000 0.000 5.648
Al Te Rh I
1 2 1 1
Direct
0.000 0.000 0.000
0.000 0.500 0.500
0.500 0.000 0.500
0.500 0.500 0.500
0.500 0.500 0.000
```

***

Stability, descending: (Q), (P)

***

(P)
Compound: AlRu2I
Source: Alexandria via LeMat-Bulk
Functional: GGA-PBE
Structure: optimized geometry

ρ ... 9.09 g/cm3
DOS(E_F) ... 5.68 states/eV/cell

Geometry as POSCAR:
```
AlRu2I
1.0
0.000 3.191 3.191
3.191 0.000 3.191
3.191 3.191 0.000
Al Ru I
1 2 1
Direct
0.000 0.000 0.000
0.250 0.250 0.250
0.750 0.750 0.750
0.500 0.500 0.500
```

***

(Q)
Compound: AlRu2I
Source: Alexandria via LeMat-Bulk
Functional: GGA-PBE
Structure: optimized geometry

ρ ... 6.42 g/cm3
DOS(E_F) ... 6.03 states/eV/cell

Geometry as POSCAR:
```
AlRu2I
1.0
-2.792 2.792 5.907
2.792 -2.792 5.907
2.792 2.792 -5.907
Al Ru I
2 4 2
Direct
0.000 0.000 0.000
0.750 0.250 0.500
0.102 0.625 0.977
0.375 0.352 0.477
0.648 0.125 0.023
0.875 0.898 0.523
0.250 0.750 0.500
0.500 0.500 0.000
```

***

Stability, descending: (P), (Q)